Entry 1:
Density functional theory data (PBE) for a relaxed ZrTiPd3 crystal.

Calculated values
* energy above the lowest structure with this stoichiometry: 0.00 eV per formula unit
* magnetic moment: 0.00 μB per cell
* density of states at the Fermi level: 4.11 states/eV/f.u.
* ΔH_f (0 K): -2.1 eV/f.u.
* raw total energy: -6.834 eV/atom
* space-group type: C2/c

Lattice parameters (Å, degrees): 7.541 7.541 5.168 100.38 100.38 137.04
Fractional positions:
Zr 0.175 0.825 0.750
Zr 0.825 0.175 0.250
Ti 0.496 0.504 0.250
Ti 0.504 0.496 0.750
Pd 0.000 0.000 0.000
Pd 0.000 0.000 0.500
Pd 0.144 0.471 0.900
Pd 0.471 0.144 0.400
Pd 0.529 0.856 0.600
Pd 0.856 0.529 0.100

Entry 2:
Density functional theory data (PBE) for a relaxed Al2V2Te crystal.

Calculated values
* magnetic moment: 0.00 μB per cell
* density of states at the Fermi level: 3.22 states/eV/f.u.
* raw total energy: -5.704 eV/atom
* space-group type: P4/mbm
* formation energy from raw total energies: 0.07 eV/atom

Lattice parameters (Å, degrees): 6.767 6.767 3.776 90.00 90.00 90.00
Fractional positions:
Al 0.157 0.343 0.000
Al 0.343 0.843 0.000
Al 0.657 0.157 0.000
Al 0.843 0.657 0.000
V 0.127 0.627 0.500
V 0.373 0.127 0.500
V 0.627 0.873 0.500
V 0.873 0.373 0.500
Te 0.000 0.000 0.500
Te 0.500 0.500 0.500

Entry 3:
Density functional theory data (PBE) for a relaxed Tl2Cr2GaSe6 crystal.

Calculated values
* magnetic moment: 5.30 μB per cell
* density of states at the Fermi level: 3.58 states/eV/f.u.
* raw total energy: -4.828 eV/atom
* space-group type: C2/m
* formation energy from raw total energies: -0.47 eV/atom

Lattice parameters (Å, degrees): 6.556 6.556 7.780 97.89 97.89 120.64
Fractional positions:
Tl 0.162 0.838 0.000
Tl 0.838 0.162 0.000
Cr 0.328 0.672 0.500
Cr 0.672 0.328 0.500
Ga 0.000 0.000 0.500
Se 0.063 0.406 0.686
Se 0.281 0.281 0.322
Se 0.406 0.063 0.686
Se 0.594 0.937 0.314
Se 0.719 0.719 0.678
Se 0.937 0.594 0.314

Entry 4:
Density functional theory data (PBE) for a relaxed NaInBi2Pb4 crystal.

Calculated values
* magnetic moment: 0.00 μB per cell
* density of states at the Fermi level: 3.19 states/eV/f.u.
* ΔH_f (0 K): -0.2 eV/f.u.
* raw total energy: -3.362 eV/atom
* space-group type: P2/m

Lattice parameters (Å, degrees): 5.901 5.952 7.066 90.00 90.58 90.00
Fractional positions:
Na 0.000 0.000 0.000
In 0.500 0.500 0.000
Bi 0.000 0.000 0.500
Bi 0.500 0.500 0.500
Pb 0.001 0.500 0.744
Pb 0.498 0.000 0.259
Pb 0.502 0.000 0.741
Pb 0.999 0.500 0.256

Entry 5:
Density functional theory data (PBE) for a relaxed Fe2BTe crystal.

Calculated values
* energy above the lowest structure with this stoichiometry: 1.03 eV per formula unit
* magnetic moment: 1.13 μB per cell
* density of states at the Fermi level: 4.34 states/eV/f.u.
* raw total energy: -5.949 eV/atom
* space-group type: Fm-3m
* formation energy from raw total energies: 0.74 eV/atom

Lattice parameters (Å, degrees): 4.073 4.073 4.073 60.00 60.00 60.00
Fractional positions:
Fe 0.250 0.250 0.250
Fe 0.750 0.750 0.750
B 0.000 0.000 0.000
Te 0.500 0.500 0.500

Entry 6:
Density functional theory data (PBE) for a relaxed Pu2HfZn crystal.

Calculated values
* energy above the lowest structure with this stoichiometry: 0.00 eV per formula unit
* magnetic moment: 10.50 μB per cell
* density of states at the Fermi level: 9.07 states/eV/f.u.
* ΔH_f (0 K): 0.2 eV/f.u.
* raw total energy: -9.910 eV/atom
* space-group type: P4/mmm

Lattice parameters (Å, degrees): 4.215 4.215 4.810 90.00 90.00 90.00
Fractional positions:
Pu 0.000 0.500 0.000
Pu 0.500 0.000 0.000
Hf 0.000 0.000 0.500
Zn 0.500 0.500 0.500

Entry 7:
Density functional theory data (PBE) for a relaxed TiMo2Au crystal.

Calculated values
* energy above the lowest structure with this stoichiometry: 0.00 eV per formula unit
* magnetic moment: 0.00 μB per cell
* density of states at the Fermi level: 9.00 states/eV/f.u.
* ΔH_f (0 K): 1.3 eV/f.u.
* raw total energy: -7.891 eV/atom
* space-group type: Fm-3m

Lattice parameters (Å, degrees): 4.530 4.530 4.530 60.00 60.00 60.00
Fractional positions:
Ti 0.000 0.000 0.000
Mo 0.250 0.250 0.250
Mo 0.750 0.750 0.750
Au 0.500 0.500 0.500

Entry 8:
Density functional theory data (PBE) for a relaxed BaMg2GeIr2 crystal.

Calculated values
* magnetic moment: 0.78 μB per cell
* density of states at the Fermi level: 4.12 states/eV/f.u.
* ΔH_f (0 K): -1.2 eV/f.u.
* raw total energy: -4.768 eV/atom
* space-group type: P4/mmm

Lattice parameters (Å, degrees): 4.737 4.737 6.505 90.00 90.00 90.00
Fractional positions:
Ba 0.000 0.000 0.000
Mg 0.500 0.500 0.271
Mg 0.500 0.500 0.729
Ge 0.000 0.000 0.500
Ir 0.000 0.500 0.500
Ir 0.500 0.000 0.500

Question: What is the raw total energy in the eighth record?
Answer: -4.768 eV/atom

Question: Among the records above, which one has the highest magnetic moment?
Answer: Pu2HfZn

Copy entry 6 word for word.
Density functional theory data (PBE) for a relaxed Pu2HfZn crystal.

Calculated values
* energy above the lowest structure with this stoichiometry: 0.00 eV per formula unit
* magnetic moment: 10.50 μB per cell
* density of states at the Fermi level: 9.07 states/eV/f.u.
* ΔH_f (0 K): 0.2 eV/f.u.
* raw total energy: -9.910 eV/atom
* space-group type: P4/mmm

Lattice parameters (Å, degrees): 4.215 4.215 4.810 90.00 90.00 90.00
Fractional positions:
Pu 0.000 0.500 0.000
Pu 0.500 0.000 0.000
Hf 0.000 0.000 0.500
Zn 0.500 0.500 0.500

Copy entry 1 word for word.
Density functional theory data (PBE) for a relaxed ZrTiPd3 crystal.

Calculated values
* energy above the lowest structure with this stoichiometry: 0.00 eV per formula unit
* magnetic moment: 0.00 μB per cell
* density of states at the Fermi level: 4.11 states/eV/f.u.
* ΔH_f (0 K): -2.1 eV/f.u.
* raw total energy: -6.834 eV/atom
* space-group type: C2/c

Lattice parameters (Å, degrees): 7.541 7.541 5.168 100.38 100.38 137.04
Fractional positions:
Zr 0.175 0.825 0.750
Zr 0.825 0.175 0.250
Ti 0.496 0.504 0.250
Ti 0.504 0.496 0.750
Pd 0.000 0.000 0.000
Pd 0.000 0.000 0.500
Pd 0.144 0.471 0.900
Pd 0.471 0.144 0.400
Pd 0.529 0.856 0.600
Pd 0.856 0.529 0.100